Entry 1:
## ScCoIr2C (GGA-PBE)

Data for an optimized crystal structure of ScCoIr2C.

POSCAR file:
```
ScCoIr2C
1.0
-0.099 -4.097 -0.031
2.248 -0.081 3.427
-3.290 0.063 2.160
C Sc Co Ir
1 1 1 2
Direct
0.000 0.000 0.000
0.500 0.500 0.500
0.000 0.000 0.500
0.500 0.000 0.000
0.000 0.500 0.000
```

Values from the calculation:
- ΔE_f: -0.292 eV per atom
- Total magnetic moment: 0.598 Bohr magnetons per cell

***

Entry 2:
## ScCo2IrC (GGA-PBE)

Data for an optimized crystal structure of ScCo2IrC.

POSCAR file:
```
ScCo2IrC
1.0
3.875 0.000 0.000
0.000 3.875 0.000
0.000 0.000 4.054
Ir C Sc Co
1 1 1 2
Direct
0.000 0.000 0.500
0.000 0.000 0.000
0.500 0.500 0.500
0.000 0.500 0.000
0.500 0.000 0.000
```

Values from the calculation:
- ΔE_f: -0.299 eV per atom
- Total magnetic moment: 0.000 Bohr magnetons per cell

***

Entry 3:
## CoSiIrC2 (GGA-PBE)

Data for an optimized crystal structure of CoSiIrC2.

POSCAR file:
```
CoSiIrC2
1.0
-3.252 -0.976 -1.354
-0.580 -2.847 3.445
-1.601 2.661 1.929
C Co Ir Si
2 1 1 1
Direct
0.000 0.000 0.500
0.500 0.000 0.000
0.000 0.500 0.000
0.500 0.500 0.500
0.000 0.000 0.000
```

Values from the calculation:
- Energy relative to the elements, uncorrected: 1.8675 eV per atom
- Total magnetic moment: 2.311 Bohr magnetons per cell